(1)
A relaxed LiEr5Se6 crystal. Source: Alexandria, functional PBE-GGA.

abc: 6.9700 6.9495 6.9476
angles: 59.99 80.41 70.54
Element x y z (fractional)
Se: 0.7569 0.7583 0.0000
Se: 0.7547 0.4062 0.6749
Se: 0.2453 0.9189 0.6749
Se: 0.2431 0.2417 0.0000
Se: 0.2453 0.5938 0.3251
Se: 0.7547 0.0811 0.3251
Er: 0.5000 0.5000 0.0000
Er: 0.0000 0.3350 0.3300
Er: 0.5000 0.1671 0.6658
Er: 0.0000 0.6650 0.6700
Er: 0.5000 0.8329 0.3342
Li: 0.0000 0.0000 0.0000

Calculated values
formation energy from raw total energies = -165 kJ per mole of atoms

=====

(2)
A relaxed Mg3Zr3WN8 crystal. Source: Alexandria, functional PBE-GGA.

abc: 6.3967 6.3967 6.3309
angles: 120.35 90.00 120.00
Element x y z (fractional)
Zr: 0.5000 0.5000 0.5000
Zr: 0.5000 0.0000 0.5000
Zr: 0.0000 0.5000 0.5000
N: 0.7713 0.0054 0.2767
N: 0.7472 0.4944 0.7415
N: 0.2287 0.9946 0.7233
N: 0.2287 0.4573 0.7233
N: 0.2340 0.0054 0.2767
N: 0.7713 0.5427 0.2767
N: 0.7660 0.9946 0.7233
N: 0.2528 0.5056 0.2585
Mg: 0.5000 0.5000 0.0000
Mg: 0.0000 0.5000 0.0000
Mg: 0.0000 0.0000 0.0000
W: 0.0000 0.0000 0.5000

Calculated values
formation energy from raw total energies = -104 kJ per mole of atoms

=====

(3)
A relaxed ZrMnCr crystal. Source: Alexandria, functional PBE-GGA.

abc: 4.3595 4.3595 4.3595
angles: 60.00 60.00 60.00
Last column: magnetic moment on the atom in μB.
Element x y z (fractional)
Cr: 0.0000 0.0000 0.0000  2.78
Mn: 0.5000 0.5000 0.5000  2.82
Zr: 0.7500 0.7500 0.7500  -0.42

Calculated values
E_form = 1136 meV per atom
polymorph energy (0 for the lowest one) = 1263 meV/atom

=====

(4)
A relaxed Tb2Dy3Au3 crystal. Source: Alexandria, functional PBE-GGA.

abc: 3.6537 5.1926 11.1945
angles: 103.41 99.39 90.00
Element x y z (fractional)
Au: 0.1175 0.1175 0.2350
Au: 0.8825 0.8825 0.7650
Au: 0.0000 0.5000 0.0000
Dy: 0.3830 0.3830 0.7661
Dy: 0.5000 0.0000 0.0000
Dy: 0.6170 0.6170 0.2339
Tb: 0.2709 0.7709 0.5419
Tb: 0.7291 0.2291 0.4581

Calculated values
E_form = -628 meV per atom

=====

(5)
A relaxed HgIrI2O crystal. Source: Alexandria, functional PBE-GGA.

abc: 5.8775 5.8775 3.9758
angles: 90.00 90.00 90.00
Last column: magnetic moment on the atom in μB.
Element x y z (fractional)
I: 0.0000 0.5000 0.0000  0.14
I: 0.5000 0.0000 0.0000  0.14
Hg: 0.0000 0.0000 0.0000  0.02
O: 0.0000 0.0000 0.5000  0.18
Ir: 0.5000 0.5000 0.5000  1.88

Calculated values
formation energy from raw total energies = 115 kJ per mole of atoms
polymorph energy (0 for the lowest one) = 1224 meV/atom

=====

(6)
A relaxed CsCd2FeTe crystal. Source: Alexandria, functional PBE-GGA.

abc: 6.4352 4.8310 6.4352
angles: 90.00 90.00 90.00
Last column: magnetic moment on the atom in μB.
Element x y z (fractional)
Cs: 0.5000 0.5000 0.5000  -0.01
Cd: 0.0000 0.0000 0.5000  0.01
Cd: 0.5000 0.0000 0.0000  -0.01
Fe: 0.0000 0.5000 0.0000  2.52
Te: 0.0000 0.0000 0.0000  -0.01

Calculated values
formation energy from raw total energies = 45 kJ per mole of atoms

=====

(7)
A relaxed Li2TbDyGe2 crystal. Source: Alexandria, functional PBE-GGA.

abc: 4.4116 4.4116 7.1979
angles: 90.00 90.00 120.00
Element x y z (fractional)
Ge: 0.6667 0.3333 0.7485
Ge: 0.3333 0.6667 0.2515
Dy: 0.0000 0.0000 0.5000
Li: 0.6667 0.3333 0.2542
Li: 0.3333 0.6667 0.7458
Tb: 0.0000 0.0000 0.0000

Calculated values
E_form = -689 meV per atom

=====

(8)
A relaxed LiAc2O3F crystal. Source: Alexandria, functional PBE-GGA.

abc: 3.7322 3.9657 7.2973
angles: 105.77 104.82 90.00
Element x y z (fractional)
F: 0.5000 0.0000 0.0000
Li: 0.0000 0.0000 0.0000
Ac: 0.3628 0.3628 0.7256
Ac: 0.6372 0.6372 0.2744
O: 0.0000 0.5000 0.0000
O: 0.8217 0.8217 0.6434
O: 0.1783 0.1783 0.3566

Calculated values
formation energy from raw total energies = -305 kJ per mole of atoms